# Lu2PbS4

Lu2PbS4 after structural relaxation (PBE-GGA, Alexandria).

abc: 12.087 3.906 14.088
angles: 90.00 90.00 90.00
Space group Pnma (No. 62)
One atom of each set of equivalent atoms:
Lu (0.060, 0.250, 0.114)
Lu (0.086, 0.250, 0.596)
Pb (0.249, 0.750, 0.832)
S (0.039, 0.750, 0.717)
S (0.088, 0.250, 0.927)
S (0.123, 0.750, 0.468)
S (0.203, 0.750, 0.165)

Results
Formation energy (no corrections) ... -11.438 eV per formula unit
Raw total energy ... -162.793 eV/cell